VASP calculation (GGA-PBE) on a geometry-optimized PmSmNi2As2 structure.

The total energy comes out at -36.63 eV/cell.

abc: 4.0969 4.0969 8.0174
angles: 90.00 90.00 120.00
Closest atoms and distances in Å follow each position.
Positions (direct):
Pm: 0.0000 0.0000 0.5000  6 Ni 3.10, 6 As 3.11
Sm: 0.0000 0.0000 0.0000  6 As 3.09, 6 Ni 3.10
Ni: 0.3333 0.6667 0.7506  3 As 2.37
Ni: 0.6667 0.3333 0.2494  3 As 2.37
As: 0.3333 0.6667 0.2482  3 Ni 2.37
As: 0.6667 0.3333 0.7518  3 Ni 2.37